TbNiAs2O8, relaxed, DFT GGA+U; total magnetization = 0.26 μB/atom; uncorrected energy = -6.20 eV/atom
1.0
-3.507 3.507 3.175
3.507 -3.507 3.175
3.507 3.507 -3.175
Tb Ni As O
1 1 2 8
direct
0.000 0.000 0.000
0.250 0.750 0.500
0.500 0.500 0.000
0.750 0.250 0.500
0.322 0.135 0.812
0.322 0.510 0.188
0.390 0.073 0.317
0.490 0.678 0.812
0.756 0.073 0.683
0.865 0.678 0.188
0.927 0.244 0.317
0.927 0.610 0.683